12
Lattice="7.492 0.000 0.000 0.000 3.573 0.000 -1.835 0.000 7.281" Properties=species:S:1:pos:R:3 comment="PBE-GGA BaLiPuO3, optimized geometry" formation_energy_uncorrected_ev_per_atom=-2.52 sg="P2_1/m (11)" pbc="T T T"
Ba 1.415 0.893 1.392
Ba 4.242 2.680 5.889
Li 1.367 2.680 6.700
Li 4.291 0.893 0.581
Pu 0.051 0.893 4.849
Pu 5.607 2.680 2.433
O -0.523 2.680 6.303
O 0.309 2.680 3.270
O 2.030 0.893 5.996
O 3.627 2.680 1.285
O 5.348 0.893 4.011
O 6.180 0.893 0.979